[1]
Material: RbCrCl3
Method: DFT, GGA-PBE
State: optimized geometry

Structure (POSCAR):
```
RbCrCl3
1.0
-5.0743 2.7179 0.5081
-1.3849 -1.5791 -5.3835
-2.3932 -4.8490 2.0380
Cr Rb Cl
1 1 3
Direct
0.5000 0.5000 0.5000
0.0000 0.0000 0.0000
0.0000 0.5000 0.0000
0.0000 0.0000 0.5000
0.5000 0.0000 0.0000
```

V: 193.0 Å³/cell
electronic total energy: -16.251 eV/cell
space group: Pm-3m (221)
formation energy without anion corrections: -0.12 eV per formula unit

***

[2]
Material: PmNdHo2
Method: DFT, GGA-PBE
State: optimized geometry

Structure (POSCAR):
```
PmNdHo2
1.0
3.6136 0.0000 0.0000
1.8068 3.1295 0.0000
1.8068 1.0432 11.6379
Pm Nd Ho
1 1 2
Direct
0.5004 0.5004 0.4988
0.6665 0.6665 0.0004
0.0832 0.0832 0.7504
0.2499 0.2499 0.2504
```

V: 131.6 Å³/cell
energy relative to the elements: 0.378 kcal/mol of atoms
electronic total energy: -18.608 eV/cell
space group: R3m (160)

***

[3]
Material: AlRh2Br
Method: DFT, GGA-PBE
State: optimized geometry

Structure (POSCAR):
```
AlRh2Br
1.0
-2.5514 -1.1216 -1.1574
1.5348 -1.0296 -2.3857
1.1415 -6.0478 3.3444
Rh Al Br
2 1 1
Direct
0.0000 0.0000 0.0435
0.0000 0.0000 0.4565
0.5000 0.5000 0.2500
0.5000 0.5000 0.7500
```

V: 63.8 Å³/cell
electronic total energy: -20.923 eV/cell
space group: P4/mmm (123)
formation energy without anion corrections: -0.80 eV per formula unit

***

[4]
Material: NaSr2PuTe4
Method: DFT, GGA-PBE
State: optimized geometry

Structure (POSCAR):
```
NaSr2PuTe4
1.0
4.6509 0.0000 0.0000
0.0000 8.0356 0.1945
0.0000 -2.7814 7.4624
Na Sr Pu Te
1 2 1 4
Direct
0.5000 0.5000 0.0000
0.5000 0.0000 0.5000
0.0000 0.5000 0.5000
0.0000 0.0000 0.0000
0.5000 0.2385 0.2324
0.5000 0.7615 0.7676
0.0000 0.2449 0.7614
0.0000 0.7551 0.2386
```

V: 281.4 Å³/cell
electronic total energy: -42.312 eV/cell
space group: P2/m (10)
formation energy without anion corrections: -10.73 eV per formula unit

***

[5]
Material: BaLi2AuF8
Method: DFT, GGA-PBE
State: optimized geometry

Structure (POSCAR):
```
BaLi2AuF8
1.0
-0.3004 -1.1943 4.4266
5.3697 -1.6809 0.0195
5.0214 5.5088 2.7857
Ba Li Au F
1 2 1 8
Direct
0.0000 0.0000 0.5000
0.5039 0.3795 0.6779
0.4961 0.6205 0.3221
0.0000 0.0000 0.0000
0.0982 0.7188 0.2775
0.6529 0.7666 0.0667
0.8278 0.1846 0.1514
0.9018 0.2812 0.7225
0.3471 0.2334 0.9333
0.1722 0.8154 0.8486
0.5082 0.7303 0.5213
0.4918 0.2697 0.4787
```

V: 187.5 Å³/cell
electronic total energy: -51.955 eV/cell
space group: P-1 (2)
formation energy without anion corrections: -27.96 eV per formula unit

***

[6]
Material: IF4
Method: DFT, GGA-PBE
State: optimized geometry

Structure (POSCAR):
```
IF4
1.0
5.2220 0.0000 -2.5740
0.0000 7.9515 0.0000
-1.0226 0.0000 4.5095
I F
2 8
Direct
0.2644 0.7500 0.5287
0.7356 0.2500 0.4713
0.2347 0.5066 0.4694
0.8293 0.7500 0.0904
0.7653 0.0066 0.5306
0.7389 0.2500 0.9096
0.7653 0.4934 0.5306
0.2347 0.9934 0.4694
0.1707 0.2500 0.9096
0.2611 0.7500 0.0904
```

V: 166.3 Å³/cell
electronic total energy: -31.296 eV/cell
space group: Cmcm (63)
formation energy without anion corrections: -6.61 eV per formula unit

***

[7]
Material: RbSbSeN2
Method: DFT, GGA-PBE
State: optimized geometry

Structure (POSCAR):
```
RbSbSeN2
1.0
4.5024 0.0000 0.0000
0.0000 4.5024 0.0000
0.0000 0.0000 6.4729
Sb Se Rb N
1 1 1 2
Direct
0.5000 0.5000 0.5000
0.0000 0.0000 0.5000
0.0000 0.0000 0.0000
0.0000 0.5000 0.0000
0.5000 0.0000 0.0000
```

V: 131.2 Å³/cell
electronic total energy: -13.843 eV/cell
space group: P4/mmm (123)
formation energy without anion corrections: 11.38 eV per formula unit

***

[8]
Material: Tl3GaNi
Method: DFT, GGA-PBE
State: optimized geometry

Structure (POSCAR):
```
Tl3GaNi
1.0
5.4019 0.0000 0.0000
0.0000 5.4019 0.0000
0.0000 0.0000 5.4019
Ni Tl Ga
1 3 1
Direct
0.5000 0.5000 0.5000
0.0000 0.5000 0.0000
0.0000 0.0000 0.5000
0.5000 0.0000 0.0000
0.0000 0.0000 0.0000
```

V: 157.6 Å³/cell
energy relative to the elements: 18.547 kcal/mol of atoms
electronic total energy: -11.886 eV/cell
space group: Pm-3m (221)

***

[9]
Material: Tb3Te2S2
Method: DFT, GGA-PBE
State: optimized geometry

Structure (POSCAR):
```
Tb3Te2S2
1.0
4.0497 -0.0049 0.0005
-2.0193 6.6829 -0.0226
-0.0041 -1.0345 7.3422
Tb Te S
3 2 2
Direct
0.0000 0.0000 0.0000
0.7591 0.5181 0.2375
0.2409 0.4819 0.7625
0.8834 0.7669 0.6194
0.1166 0.2331 0.3806
0.6296 0.2592 0.9035
0.3704 0.7408 0.0965
```

V: 198.5 Å³/cell
electronic total energy: -40.585 eV/cell
space group: C2/m (12)
formation energy without anion corrections: -12.16 eV per formula unit

***

[10]
Material: La12Ho5Er
Method: DFT, GGA-PBE
State: optimized geometry

Structure (POSCAR):
```
La12Ho5Er
1.0
5.5133 3.1731 0.1855
-5.5133 3.1731 0.1855
0.0000 1.0460 18.0219
La Ho Er
12 5 1
Direct
0.1114 0.1114 0.6627
0.8886 0.8886 0.3373
0.2804 0.2804 0.1638
0.7196 0.7196 0.8362
0.6144 0.9474 0.1637
0.0526 0.3856 0.8363
0.9474 0.6144 0.1637
0.3856 0.0526 0.8363
0.5552 0.2219 0.3373
0.2219 0.5552 0.3373
0.7781 0.4448 0.6627
0.4448 0.7781 0.6627
0.5000 0.5000 0.5000
0.8333 0.1667 0.5000
0.1667 0.8333 0.5000
0.3333 0.6667 0.0000
0.6667 0.3333 0.0000
0.0000 0.0000 0.0000
```

V: 628.4 Å³/cell
energy relative to the elements: 0.397 kcal/mol of atoms
electronic total energy: -86.271 eV/cell
space group: C2/m (12)

***

> Look up the V of the ninth one.

198.5 Å³/cell